! PrHoS2 PBE optimized geometry; values from VASP
&SYSTEM
  ibrav = 0, nat = 4, ntyp = 3
/
ATOMIC_SPECIES
Pr 140.91 Pr.upf
S 32.06 S.upf
Ho 164.93 Ho.upf
CELL_PARAMETERS angstrom
-0.798 3.022 2.422
0.719 -0.339 3.873
6.124 3.271 1.173
ATOMIC_POSITIONS angstrom
Pr 3.022 2.977 3.734
S 1.379 1.437 1.886
Ho 0.000 0.000 0.000
S 4.666 4.516 5.582
! * symmetry: C2/m (12)
! * total DFT energy (no corrections): -6.41 eV/atom
! * total magnetization: 0.00 μB/f.u.
! * energy above the lowest structure with this stoichiometry: 0.0000 eV/atom
! * density of states at the Fermi level: 0.3572 states/eV/atom

***

! Pr3HoS PBE optimized geometry; values from VASP
&SYSTEM
  ibrav = 0, nat = 5, ntyp = 3
/
ATOMIC_SPECIES
Pr 140.91 Pr.upf
Ho 164.93 Ho.upf
S 32.06 S.upf
CELL_PARAMETERS angstrom
-3.482 -2.190 3.705
-2.661 -2.651 -4.068
3.383 -4.339 0.614
ATOMIC_POSITIONS angstrom
Pr -1.741 -1.095 1.853
Ho -1.380 -4.590 0.126
S 0.000 0.000 0.000
Pr 1.692 -2.170 0.307
Pr -1.331 -1.325 -2.034
! * symmetry: Pm-3m (221)
! * total DFT energy (no corrections): -5.27 eV/atom
! * total magnetization: 0.00 μB/f.u.
! * density of states at the Fermi level: 1.0816 states/eV/atom

***

! PrHoS2 PBE optimized geometry; values from VASP
&SYSTEM
  ibrav = 0, nat = 4, ntyp = 3
/
ATOMIC_SPECIES
Pr 140.91 Pr.upf
Ho 164.93 Ho.upf
S 32.06 S.upf
CELL_PARAMETERS angstrom
3.884 0.000 0.000
1.942 3.364 0.000
1.942 1.121 7.009
ATOMIC_POSITIONS angstrom
Pr 5.826 3.364 6.892
Ho 3.884 2.243 3.621
S 1.942 1.121 1.847
S 1.942 1.121 5.163
! * symmetry: R3m (160)
! * total DFT energy (no corrections): -6.34 eV/atom
! * total magnetization: 0.00 μB/f.u.
! * energy above the lowest structure with this stoichiometry: 0.0728 eV/atom
! * density of states at the Fermi level: 0.2782 states/eV/atom

***

! Pr4HoS7 PBE optimized geometry; values from VASP
&SYSTEM
  ibrav = 0, nat = 12, ntyp = 3
/
ATOMIC_SPECIES
S 32.06 S.upf
Ho 164.93 Ho.upf
Pr 140.91 Pr.upf
CELL_PARAMETERS angstrom
-3.842 -0.772 -0.558
3.497 -5.541 -2.370
-1.290 -2.029 11.690
ATOMIC_POSITIONS angstrom
S -0.752 -6.265 -0.196
Ho -1.444 -6.153 4.419
S -0.158 -5.932 9.293
Pr -1.634 -8.325 8.728
S -1.482 -2.386 -0.533
Pr -2.337 -4.375 8.100
Pr -0.198 -2.182 4.382
S 0.905 -6.874 3.278
S -0.881 -2.031 8.879
Pr 0.701 -3.967 0.661
S 0.014 -4.506 6.137
S -1.616 -3.999 2.622
! * symmetry: Cm (8)
! * total DFT energy (no corrections): -6.44 eV/atom
! * total magnetization: 0.00 μB/f.u.
! * density of states at the Fermi level: 0.1118 states/eV/atom

***

! Pr4Ho3S8 PBE optimized geometry; values from VASP
&SYSTEM
  ibrav = 0, nat = 15, ntyp = 3
/
ATOMIC_SPECIES
Ho 164.93 Ho.upf
Pr 140.91 Pr.upf
S 32.06 S.upf
CELL_PARAMETERS angstrom
-6.179 -2.302 4.222
-0.540 1.989 7.554
-5.839 6.092 2.037
ATOMIC_POSITIONS angstrom
Ho -2.920 3.046 1.019
Pr 0.000 0.000 0.000
Pr -4.674 0.125 7.749
Pr -6.279 2.889 6.907
S -5.968 4.389 4.448
Ho -3.190 4.040 4.796
S -3.369 1.840 3.333
Pr -7.885 5.653 6.064
S -3.414 2.572 7.195
Ho -6.009 1.895 3.130
S -6.591 1.388 9.366
S -9.190 3.938 10.481
S -6.246 5.412 8.331
S -6.313 0.366 5.482
S -9.145 3.206 6.618
! * symmetry: R-3m (166)
! * total DFT energy (no corrections): -6.19 eV/atom
! * total magnetization: 0.00 μB/f.u.
! * energy above the lowest structure with this stoichiometry: 0.2009 eV/atom
! * density of states at the Fermi level: 0.4502 states/eV/atom

***

! Pr4HoS5 PBE optimized geometry; values from VASP
&SYSTEM
  ibrav = 0, nat = 10, ntyp = 3
/
ATOMIC_SPECIES
Pr 140.91 Pr.upf
S 32.06 S.upf
Ho 164.93 Ho.upf
CELL_PARAMETERS angstrom
-3.326 1.553 -1.740
-2.147 -0.856 3.340
5.962 12.607 4.595
ATOMIC_POSITIONS angstrom
Pr 1.266 5.084 2.117
Pr -0.777 8.219 4.077
S 1.923 7.723 3.216
S -1.434 5.580 2.979
Pr -2.087 2.960 1.887
S 0.614 2.465 1.027
S -2.737 0.348 0.800
S -0.125 10.838 5.168
Pr 2.575 10.344 4.307
Ho 0.000 0.000 0.000
! * symmetry: I4/mmm (139)
! * total DFT energy (no corrections): -6.43 eV/atom
! * total magnetization: 0.00 μB/f.u.
! * density of states at the Fermi level: 0.4101 states/eV/atom

***

The evaluated energy relative to the elements, uncorrected for the records listed, in turn: -2008 -657 -1935 -2053 -1801 -1995 meV per atom.